Here is BeSiAs after structural relaxation from the Alexandria database. Energies are from PBE-GGA.

a = 5.7335 Å, b = 5.7335 Å, c = 5.7335 Å
α = 90.00°, β = 90.00°, γ = 90.00°
Space group F-43m (No. 216)
Asymmetric unit:
Be (0.0000, 0.0000, 0.0000)
Si (0.2500, 0.2500, 0.7500)
As (0.2500, 0.2500, 0.2500)

raw total energy = -4.22 eV per atom
energy above the most stable polymorph in this dataset = 0.436 eV/atom
formation energy without anion corrections = 0.382 eV per atom